! PBE with a Hubbard U CrP4O12, relaxed; values from VASP
&SYSTEM
  ibrav = 0, nat = 34, ntyp = 3
/
ATOMIC_SPECIES
Cr 52.00 Cr.upf
P 30.97 P.upf
O 16.00 O.upf
CELL_PARAMETERS angstrom
8.391 -6.232 0.000
8.391 6.232 0.000
-0.622 0.000 5.050
ATOMIC_POSITIONS crystal
Cr 0.000 0.500 0.000
Cr 0.500 0.000 0.000
P 0.142 0.711 0.803
P 0.201 0.443 0.526
P 0.289 0.858 0.197
P 0.443 0.201 0.526
P 0.557 0.799 0.474
P 0.711 0.142 0.803
P 0.799 0.557 0.474
P 0.858 0.289 0.197
O 0.046 0.670 0.960
O 0.073 0.825 0.632
O 0.103 0.412 0.688
O 0.171 0.439 0.230
O 0.175 0.927 0.368
O 0.230 0.584 0.631
O 0.263 0.737 0.000
O 0.330 0.954 0.040
O 0.349 0.349 0.590
O 0.412 0.103 0.688
O 0.416 0.770 0.369
O 0.439 0.171 0.230
O 0.561 0.829 0.770
O 0.584 0.230 0.631
O 0.588 0.897 0.312
O 0.651 0.651 0.410
O 0.670 0.046 0.960
O 0.737 0.263 0.000
O 0.770 0.416 0.369
O 0.825 0.073 0.632
O 0.829 0.561 0.770
O 0.897 0.588 0.312
O 0.927 0.175 0.368
O 0.954 0.330 0.040
! Polymorph energy (0 for the lowest one)   0.101 eV/f.u.
! Crystal system   monoclinic
! DFT total energy   -7.17 eV per atom